(A)
Here is crystalline LiSi3N at its relaxed geometry from Alexandria. Energies are from GGA-PBE.

```
data_LiSi3N
_symmetry_space_group_name_H-M 'P m -3 m'
_symmetry_Int_Tables_number 221
_symmetry_space_group_name_Hall '-P 4 2 3'
_cell_length_a 4.184
_cell_length_b 4.184
_cell_length_c 4.184
_cell_angle_alpha 90.00
_cell_angle_beta 90.00
_cell_angle_gamma 90.00
loop_
_atom_site_label
_atom_site_fract_x
_atom_site_fract_y
_atom_site_fract_z
_atom_site_occupancy
Li1 0.000 0.000 0.000 1
Si1 0.000 0.000 0.500 1
N1 0.500 0.500 0.500 1
```

(B)
Here is crystalline LiSi3N at its relaxed geometry from Alexandria. Energies are from GGA-PBE.

```
data_LiSi3N
_symmetry_space_group_name_H-M 'P m -3 m'
_symmetry_Int_Tables_number 221
_symmetry_space_group_name_Hall '-P 4 2 3'
_cell_length_a 4.115
_cell_length_b 4.115
_cell_length_c 4.115
_cell_angle_alpha 90.00
_cell_angle_beta 90.00
_cell_angle_gamma 90.00
loop_
_atom_site_label
_atom_site_fract_x
_atom_site_fract_y
_atom_site_fract_z
_atom_site_occupancy
Li1 0.000 0.000 0.000 1
Si1 0.000 0.500 0.500 1
N1 0.500 0.500 0.500 1
```

Calculated relative energies: (A) 100.4; (B) 0.0, given in kJ/mol of atoms

(A)
Here is crystalline Li3SiN at its relaxed geometry from Alexandria. Energies are from GGA-PBE.

```
data_Li3SiN
_symmetry_space_group_name_H-M 'P m -3 m'
_symmetry_Int_Tables_number 221
_symmetry_space_group_name_Hall '-P 4 2 3'
_cell_length_a 3.940
_cell_length_b 3.940
_cell_length_c 3.940
_cell_angle_alpha 90.00
_cell_angle_beta 90.00
_cell_angle_gamma 90.00
loop_
_atom_site_label
_atom_site_fract_x
_atom_site_fract_y
_atom_site_fract_z
_atom_site_occupancy
Li1 0.000 0.000 0.500 1
Si1 0.500 0.500 0.500 1
N1 0.000 0.000 0.000 1
```

(B)
Here is crystalline Li3SiN at its relaxed geometry from Alexandria. Energies are from GGA-PBE.

```
data_Li3SiN
_symmetry_space_group_name_H-M 'P m -3 m'
_symmetry_Int_Tables_number 221
_symmetry_space_group_name_Hall '-P 4 2 3'
_cell_length_a 4.937
_cell_length_b 4.937
_cell_length_c 4.937
_cell_angle_alpha 90.00
_cell_angle_beta 90.00
_cell_angle_gamma 90.00
loop_
_atom_site_label
_atom_site_fract_x
_atom_site_fract_y
_atom_site_fract_z
_atom_site_occupancy
Li1 0.000 0.000 0.500 1
Si1 0.000 0.000 0.000 1
N1 0.500 0.500 0.500 1
```

Calculated relative energies: (A) 0.0; (B) 97.0, given in kJ/mol of atoms

(A)
Here is crystalline LiSiTeN2 at its relaxed geometry from Alexandria. Energies are from GGA-PBE.

```
data_LiSiTeN2
_symmetry_space_group_name_H-M 'P 4/m m m'
_symmetry_Int_Tables_number 123
_symmetry_space_group_name_Hall '-P 4 2'
_cell_length_a 3.543
_cell_length_b 3.543
_cell_length_c 6.121
_cell_angle_alpha 90.00
_cell_angle_beta 90.00
_cell_angle_gamma 90.00
loop_
_atom_site_label
_atom_site_fract_x
_atom_site_fract_y
_atom_site_fract_z
_atom_site_occupancy
Li1 0.000 0.000 0.000 1
Si1 0.500 0.500 0.500 1
Te1 0.500 0.500 0.000 1
N1 0.000 0.500 0.500 1
```

(B)
Here is crystalline LiSiTeN2 at its relaxed geometry from Alexandria. Energies are from GGA-PBE.

```
data_LiSiTeN2
_symmetry_space_group_name_H-M 'P 4/m m m'
_symmetry_Int_Tables_number 123
_symmetry_space_group_name_Hall '-P 4 2'
_cell_length_a 3.832
_cell_length_b 3.832
_cell_length_c 4.977
_cell_angle_alpha 90.00
_cell_angle_beta 90.00
_cell_angle_gamma 90.00
loop_
_atom_site_label
_atom_site_fract_x
_atom_site_fract_y
_atom_site_fract_z
_atom_site_occupancy
Li1 0.000 0.000 0.000 1
Si1 0.500 0.500 0.500 1
Te1 0.000 0.000 0.500 1
N1 0.000 0.500 0.000 1
```

Calculated relative energies: (A) 0.0; (B) 127.3, given in kJ/mol of atoms

(A)
Here is crystalline LiSn3N at its relaxed geometry from Alexandria. Energies are from GGA-PBE.

```
data_LiSn3N
_symmetry_space_group_name_H-M 'P m -3 m'
_symmetry_Int_Tables_number 221
_symmetry_space_group_name_Hall '-P 4 2 3'
_cell_length_a 4.819
_cell_length_b 4.819
_cell_length_c 4.819
_cell_angle_alpha 90.00
_cell_angle_beta 90.00
_cell_angle_gamma 90.00
loop_
_atom_site_label
_atom_site_fract_x
_atom_site_fract_y
_atom_site_fract_z
_atom_site_occupancy
Li1 0.000 0.000 0.000 1
Sn1 0.000 0.000 0.500 1
N1 0.500 0.500 0.500 1
```

(B)
Here is crystalline LiSn3N at its relaxed geometry from Alexandria. Energies are from GGA-PBE.

```
data_LiSn3N
_symmetry_space_group_name_H-M 'P m -3 m'
_symmetry_Int_Tables_number 221
_symmetry_space_group_name_Hall '-P 4 2 3'
_cell_length_a 4.824
_cell_length_b 4.824
_cell_length_c 4.824
_cell_angle_alpha 90.00
_cell_angle_beta 90.00
_cell_angle_gamma 90.00
loop_
_atom_site_label
_atom_site_fract_x
_atom_site_fract_y
_atom_site_fract_z
_atom_site_occupancy
Li1 0.000 0.000 0.000 1
Sn1 0.000 0.500 0.500 1
N1 0.500 0.500 0.500 1
```

Calculated relative energies: (A) 73.1; (B) 0.0, given in kJ/mol of atoms

(A)
Here is crystalline Li2SnN at its relaxed geometry from Alexandria. Energies are from GGA-PBE.

```
data_Li2SnN
_symmetry_space_group_name_H-M 'I 41/a m d'
_symmetry_Int_Tables_number 141
_cell_length_a 5.656
_cell_length_b 5.656
_cell_length_c 8.743
_cell_angle_alpha 90.00
_cell_angle_beta 90.00
_cell_angle_gamma 90.00
loop_
_symmetry_equiv_pos_as_xyz
'x,y,z'
'-x,-y,-z'
'-y+1/4,x+3/4,z+1/4'
'y+1/4,-x+3/4,-z+1/4'
'-x+1/2,-y,z+1/2'
'x+1/2,y,-z+1/2'
'y+1/4,-x+1/4,z+3/4'
'-y+1/4,x+1/4,-z+3/4'
'x,-y,-z'
'-x,y,z'
'-y+1/4,-x+1/4,-z+3/4'
'y+1/4,x+1/4,z+3/4'
'-x+1/2,y,-z+1/2'
'x+1/2,-y,z+1/2'
'y+1/4,x+3/4,-z+1/4'
'-y+1/4,-x+3/4,z+1/4'
'x+1/2,y+1/2,z+1/2'
'-x+1/2,-y+1/2,-z+1/2'
'-y+3/4,x+1/4,z+3/4'
'y+3/4,-x+1/4,-z+3/4'
'-x,-y+1/2,z'
'x,y+1/2,-z'
'y+3/4,-x+3/4,z+1/4'
'-y+3/4,x+3/4,-z+1/4'
'x+1/2,-y+1/2,-z+1/2'
'-x+1/2,y+1/2,z+1/2'
'-y+3/4,-x+3/4,-z+1/4'
'y+3/4,x+3/4,z+1/4'
'-x,y+1/2,-z'
'x,-y+1/2,z'
'y+3/4,x+1/4,-z+3/4'
'-y+3/4,-x+1/4,z+3/4'
loop_
_atom_site_label
_atom_site_fract_x
_atom_site_fract_y
_atom_site_fract_z
_atom_site_occupancy
Li1 0.000 0.000 0.000 1
Sn1 0.000 0.250 0.375 1
N1 0.000 0.250 0.875 1
```

(B)
Here is crystalline Li2SnN at its relaxed geometry from Alexandria. Energies are from GGA-PBE.

```
data_Li2SnN
_symmetry_space_group_name_H-M 'P n m a'
_symmetry_Int_Tables_number 62
_symmetry_space_group_name_Hall '-P 2ac 2n'
_cell_length_a 5.736
_cell_length_b 6.703
_cell_length_c 6.051
_cell_angle_alpha 90.00
_cell_angle_beta 90.00
_cell_angle_gamma 90.00
loop_
_atom_site_label
_atom_site_fract_x
_atom_site_fract_y
_atom_site_fract_z
_atom_site_occupancy
Li1 0.108 0.062 0.135 1
Sn1 0.057 0.250 0.561 1
N1 0.058 0.750 0.096 1
```

Calculated relative energies: (A) 46.0; (B) 0.0, given in kJ/mol of atoms

(A)
Here is crystalline LiSnTeN2 at its relaxed geometry from Alexandria. Energies are from GGA-PBE.

```
data_LiSnTeN2
_symmetry_space_group_name_H-M 'P 4/m m m'
_symmetry_Int_Tables_number 123
_symmetry_space_group_name_Hall '-P 4 2'
_cell_length_a 4.331
_cell_length_b 4.331
_cell_length_c 5.260
_cell_angle_alpha 90.00
_cell_angle_beta 90.00
_cell_angle_gamma 90.00
loop_
_atom_site_label
_atom_site_fract_x
_atom_site_fract_y
_atom_site_fract_z
_atom_site_occupancy
Li1 0.000 0.000 0.000 1
Sn1 0.500 0.500 0.500 1
Te1 0.000 0.000 0.500 1
N1 0.000 0.500 0.000 1
```

(B)
Here is crystalline LiSnTeN2 at its relaxed geometry from Alexandria. Energies are from GGA-PBE.

```
data_LiSnTeN2
_symmetry_space_group_name_H-M 'P 4/m m m'
_symmetry_Int_Tables_number 123
_symmetry_space_group_name_Hall '-P 4 2'
_cell_length_a 4.230
_cell_length_b 4.230
_cell_length_c 6.035
_cell_angle_alpha 90.00
_cell_angle_beta 90.00
_cell_angle_gamma 90.00
loop_
_atom_site_label
_atom_site_fract_x
_atom_site_fract_y
_atom_site_fract_z
_atom_site_occupancy
Li1 0.000 0.000 0.000 1
Sn1 0.500 0.500 0.500 1
Te1 0.500 0.500 0.000 1
N1 0.000 0.500 0.500 1
```

Calculated relative energies: (A) 47.2; (B) 0.0, given in kJ/mol of atoms